Here is a relaxed structure of CrSnSe3 from Alexandria. Energies are from PBE.

Its symmetry is No. 36. The calculation puts the total magnetization at 2.36 μB/f.u. The calculation puts the total energy at -51.27 eV/cell.

The structure in extended XYZ format:
```
10
Lattice="1.995 -10.485 0.000 1.995 10.485 0.000 0.000 0.000 6.876" Properties=species:S:1:pos:R:3 pbc="T T T"
Cr 1.995 8.070 3.438
Cr 1.995 -8.070 0.000
Sn 1.995 3.490 3.917
Sn 1.995 -3.490 0.479
Se 1.995 8.190 5.762
Se 1.995 5.983 2.307
Se 1.995 1.448 5.921
Se 1.995 -1.448 2.483
Se 1.995 -5.983 5.744
Se 1.995 -8.190 2.324
```

Here is a relaxed structure of CrSn4Se8 from Alexandria. Energies are from PBE.

Its symmetry is No. 166. The calculation puts the total magnetization at 2.87 μB/f.u. The calculation puts the total energy at -58.34 eV/cell.

The structure in extended XYZ format:
```
13
Lattice="3.949 2.280 6.295 -3.949 2.280 6.295 0.000 -4.560 6.295" Properties=species:S:1:pos:R:3 pbc="T T T"
Cr 0.000 0.000 0.000
Sn -3.949 0.000 9.442
Sn -1.975 1.140 3.147
Sn 1.975 1.140 3.147
Sn 0.000 0.000 9.442
Se 0.000 -2.428 7.750
Se -2.103 1.214 7.750
Se -2.103 -1.214 11.134
Se 0.000 0.000 4.748
Se 0.000 0.000 14.136
Se 2.103 1.214 7.750
Se 2.103 -1.214 11.134
Se 0.000 2.428 11.134
```

Here is a relaxed structure of Cr5SnSe8 from Alexandria. Energies are from PBE.

Its symmetry is No. 8. The calculation puts the total magnetization at 16.00 μB/f.u. The calculation puts the total energy at -86.58 eV/cell.

The structure in extended XYZ format:
```
14
Lattice="9.662 -1.836 0.000 9.662 1.836 0.000 -2.323 0.000 8.669" Properties=species:S:1:pos:R:3 pbc="T T T"
Cr 0.000 0.000 0.000
Cr 0.106 0.000 3.081
Cr 6.518 0.000 0.252
Cr 10.733 0.000 6.098
Cr 13.158 0.000 0.558
Sn 16.076 0.000 4.309
Se 0.035 0.000 7.673
Se 1.995 0.000 4.684
Se 4.561 0.000 1.889
Se 6.238 0.000 7.356
Se 8.670 0.000 4.572
Se 10.790 0.000 1.614
Se 12.776 0.000 7.604
Se 17.257 0.000 1.625
```